A relaxed structure of CsPb4F8, computed with PBE.

As for the uncorrected formation energy: -2171 meV per atom. As for the crystal system: trigonal. The volume comes out at 374.1 Å³/f.u. The calculation puts the polymorph energy (0 for the lowest one) at 0.000 eV per atom. The total magnetization is 0.000 μB/atom.

Structure (POSCAR):
```
CsPb4F8
1.0
7.940 0.000 0.000
3.970 6.876 0.000
3.970 2.292 6.853
Cs Pb F
1 4 8
Direct
0.500 0.500 0.500 Cs
0.000 0.500 0.000 Pb
0.500 0.500 0.000 Pb
0.500 0.000 0.000 Pb
0.000 0.000 0.000 Pb
0.717 0.222 0.838 F
0.778 0.283 0.162 F
0.283 0.778 0.162 F
0.778 0.778 0.162 F
0.716 0.716 0.853 F
0.284 0.284 0.147 F
0.222 0.222 0.838 F
0.222 0.717 0.838 F
```